Here is a relaxed VFe3O crystal from the Alexandria database. Energies are from PBE with a Hubbard U.

a = 4.8755 Å, b = 4.8755 Å, c = 4.8755 Å
α = 90.00°, β = 90.00°, γ = 90.00°
Closest atoms and distances in Å follow each position.
Positions (direct):
Fe  0.0000  0.5000  0.0000  2 V 2.44
Fe  0.0000  0.0000  0.5000  2 V 2.44
Fe  0.5000  0.0000  0.0000  2 V 2.44
O  0.5000  0.5000  0.5000  12 Fe 3.45
V  0.0000  0.0000  0.0000  6 Fe 2.44

Properties
The density of states at the Fermi level is 0.900 states/eV per atom. For the total magnetization, the calculation gives 8.0 μB per cell. The value obtained for the excess energy over the best structure of this formula in the dataset is 7.86 eV per formula unit.